# 1
This record from Alexandria describes Co2RhSe at its PBEsol-relaxed geometry. The functional is SCAN.

```
Co2RhSe
1.0
-0.4470 0.6914 -2.6675
-3.4318 -2.5862 -0.0952
-1.2885 3.9118 1.2298
Co Rh Se
2 1 1
direct
0.0000 0.5000 0.0000
0.0000 0.0000 0.5000
0.5000 0.0000 0.0000
0.5000 0.5000 0.5000
```

Values from the calculation:
VASP energy (eV/atom): -21.7928
Total magnetization (μB/f.u.): 3.66

# 2
This record from Alexandria describes Co2Si2Rh at its PBEsol-relaxed geometry. The functional is SCAN.

```
Co2Si2Rh
1.0
2.6286 0.0000 0.0000
0.0000 6.5364 0.0000
0.0000 0.0000 6.5364
Co Si Rh
4 4 2
direct
0.5000 0.1433 0.6433
0.5000 0.6433 0.8567
0.5000 0.8567 0.3567
0.5000 0.3567 0.1433
0.0000 0.3483 0.8483
0.0000 0.8483 0.6517
0.0000 0.6517 0.1517
0.0000 0.1517 0.3483
0.0000 0.0000 0.0000
0.0000 0.5000 0.5000
```

Values from the calculation:
VASP energy (eV/atom): -18.1460
Total magnetization (μB/f.u.): 0.00